Mn2GeCO | GGA+U | relaxed

Summary:
SG   P4/mmm, No. 123
Electronic total energy   -29.9 eV for the cell shown
Volume   14.461 Å³/atom

a = 4.1223 Å, b = 4.2550 Å, c = 4.1223 Å
α = 90.00°, β = 90.00°, γ = 90.00°
With the nearest neighbours (Å) after each atom.
Element x y z (fractional)
1 Mn 0.0000 0.0000 0.5000  2 O 2.06
2 Mn 0.5000 0.0000 0.0000  2 O 2.06
3 Ge 0.5000 0.5000 0.5000  4 C 2.91, 8 Mn 2.96
4 O 0.0000 0.0000 0.0000  4 Mn 2.06, 2 C 2.13
5 C 0.0000 0.5000 0.0000  2 O 2.13